A plane-wave DFT calculation with GGA-PBEsol was carried out for crystalline Y2PS at its relaxed geometry.

Cell: 3.9174 3.9174 19.1671 Å, 90.00 90.00 120.00°
Space group R-3m (No. 166, hexagonal axes)
Asymmetric unit:
1 Y 0.0000 0.0000 0.2478 [6 per cell]
2 P 0.0000 0.0000 0.5000 [3 per cell]
3 S 0.0000 0.0000 0.0000 [3 per cell]

Density (g/cm³): 4.7
Raw formation energy (eV/atom): -1.963
Energy (eV per atom): -7.92


A plane-wave DFT calculation with GGA-PBEsol was carried out for crystalline Al2PdWF at its relaxed geometry.

Cell: 4.9584 4.9584 4.6259 Å, 90.00 90.00 90.00°
Space group P4/mmm (No. 123)
Asymmetric unit:
1 Al 0.0000 0.5000 0.0000 [2 per cell]
2 Pd 0.0000 0.0000 0.5000 [1 per cell]
3 W 0.0000 0.0000 0.0000 [1 per cell]
4 F 0.5000 0.5000 0.5000 [1 per cell]

Density (g/cm³): 5.3
Raw formation energy (eV/atom): 0.894
Energy (eV per atom): -5.08


V values, unit Å³/f.u., following the record order: 85 114.